(1)
15
Lattice="8.680 0.000 0.000 -4.340 7.517 -0.027 0.000 -4.986 7.320" Properties=species:S:1:pos:R:3 comment="PBE Pr8SiTe3Se3, optimized geometry" final_energy_ev_per_cell=-84.9 sg="No. 166" pbc="T T T"
Pr 6.554 -1.271 2.029
Pr -2.214 3.802 5.263
Pr 0.000 2.512 2.032
Pr 4.340 2.562 2.014
Pr 0.000 -0.031 5.278
Pr 2.126 -1.271 2.029
Pr 2.214 3.802 5.263
Pr 4.340 0.019 5.260
Si 0.000 -2.493 3.660
Te -2.170 3.758 -0.014
Te 2.170 3.758 -0.014
Te 0.000 0.000 0.000
Se 4.340 -2.493 3.660
Se -2.170 1.266 3.646
Se 2.170 1.266 3.646

(2)
12
Lattice="4.342 0.000 0.000 0.000 8.778 0.378 -2.171 -2.460 9.224" Properties=species:S:1:pos:R:3 comment="PBE Pr6SiTe2Se3, optimized geometry" final_energy_ev_per_cell=-69.5 sg="No. 12" pbc="T T T"
Pr 0.000 1.815 6.488
Pr 0.000 6.716 0.353
Pr 0.000 6.504 6.674
Pr 2.171 -0.399 9.250
Pr 2.171 4.503 3.115
Pr 2.171 -0.187 2.928
Se 2.171 4.389 0.189
Se 2.171 -0.203 6.146
Se 0.000 6.521 3.456
Si 2.171 0.000 0.000
Te 2.171 4.165 6.346
Te 0.000 2.153 3.256

(3)
4
Lattice="-4.040 1.144 0.797 -3.161 -1.444 -2.488 -3.152 -5.674 3.628" Properties=species:S:1:pos:R:3 comment="PBE PrThSiSe, optimized geometry" final_energy_ev_per_cell=-26.1 sg="No. 160" pbc="T T T"
Se -7.331 -1.266 -0.964
Pr -7.879 -5.336 2.097
Si -5.297 -3.886 1.645
Th -2.725 -2.511 1.250

(4)
14
Lattice="6.861 0.000 -0.003 0.000 6.929 0.000 -2.692 0.000 8.669" Properties=species:S:1:pos:R:3 comment="PBE PrTlSiSe4, optimized geometry" final_energy_ev_per_cell=-67.2 sg="No. 11" pbc="T T T"
Se 1.751 1.732 7.328
Se 2.418 5.197 1.339
Se 1.229 5.197 4.962
Se -1.929 6.884 6.287
Se 6.098 0.045 2.380
Se 6.098 3.419 2.380
Se -1.929 3.510 6.287
Se 2.940 1.732 3.705
Pr 4.056 5.197 3.861
Pr 0.113 1.732 4.806
Si 3.526 1.732 5.924
Si 0.643 5.197 2.743
Tl 2.599 5.197 8.086
Tl 1.570 1.732 0.581

(5)
4
Lattice="4.199 0.000 0.000 2.099 3.636 0.000 2.099 1.212 6.956" Properties=species:S:1:pos:R:3 comment="PBE PrYSiSe, optimized geometry" final_energy_ev_per_cell=-25.3 sg="No. 160" pbc="T T T"
Y 6.298 3.636 1.244
Si 2.099 1.212 2.837
Pr 4.199 2.424 4.551
Se 6.298 3.636 6.467

(6)
13
Lattice="-0.786 6.979 1.747 -7.306 0.287 -4.434 0.422 -4.412 7.265" Properties=species:S:1:pos:R:3 comment="PBE Pr3Sm2Se8, optimized geometry" final_energy_ev_per_cell=-73.5 sg="No. 12" pbc="T T T"
Se -5.144 5.407 0.581
Se -0.941 0.803 5.957
Se -6.157 -2.622 1.729
Se -6.729 2.052 -1.379
Se -4.799 0.955 3.616
Se -2.526 -2.552 3.997
Se -2.871 1.900 0.963
Se -1.514 5.477 2.849
Sm -5.721 2.680 1.354
Sm -1.950 0.174 3.224
Pr -1.923 0.076 -1.167
Pr -0.393 3.490 0.874
Pr -5.383 0.211 -3.267

(7)
12
Lattice="-0.614 1.165 -7.122 6.428 -1.030 -3.200 1.806 -6.591 -2.472" Properties=species:S:1:pos:R:3 comment="PBE PrSm5Se6, optimized geometry" final_energy_ev_per_cell=-71.2 sg="No. 12" pbc="T T T"
Sm 1.958 -4.024 -5.748
Sm 5.487 -5.087 -3.782
Sm 2.907 0.067 -5.161
Sm 5.661 -2.432 -7.046
Sm 2.746 -2.534 -1.890
Se 6.924 -5.007 -6.370
Se 3.455 -3.925 -8.305
Se 4.164 -2.532 -4.489
Se 4.330 0.105 -7.720
Se 1.484 0.030 -2.601
Se 0.695 -1.450 -6.424
Pr 0.000 0.000 0.000

(8)
15
Lattice="8.426 -0.119 -0.171 -4.111 7.347 0.134 -4.111 -2.425 6.936" Properties=species:S:1:pos:R:3 comment="PBE Pr4Sm3Se8, optimized geometry" sg="No. 12" polymorph_energy_mev_per_atom=0 pbc="T T T"
Se -2.070 1.265 1.817
Se 0.102 -0.017 5.133
Se 0.102 4.820 1.766
Se -4.111 0.064 5.204
Se -4.111 4.858 1.867
Se 2.179 1.206 1.733
Se -1.975 3.597 5.167
Se 2.274 3.538 5.082
Pr -2.055 3.673 0.067
Pr 4.213 -0.059 -0.085
Pr -2.055 -1.212 3.468
Pr 0.000 0.000 0.000
Sm 2.157 3.614 -0.018
Sm 2.157 -1.272 3.383
Sm 0.102 2.402 3.450

(9)
6
Lattice="-1.878 0.127 3.773 0.387 -5.911 0.391 6.370 3.445 0.700" Properties=species:S:1:pos:R:3 comment="PBE PrSm2Se3, optimized geometry" final_energy_ev_per_cell=-35.6 sg="No. 71" pbc="T T T"
Se -0.433 -1.297 3.362
Se 2.246 1.786 2.236
Se 5.313 -1.043 1.501
Sm -0.139 -4.242 3.606
Sm 5.019 1.903 1.257
Pr 2.440 -1.170 2.432

(10)
15
Lattice="-3.708 7.353 1.246 -8.300 0.593 -0.363 -4.389 1.325 6.954" Properties=species:S:1:pos:R:3 comment="PBE PrSm6Se8, optimized geometry" final_energy_ev_per_cell=-88.9 sg="No. 225" pbc="T T T"
Se -10.050 6.245 2.443
Se -4.099 2.318 1.959
Se -6.016 5.957 2.620
Se -8.149 6.601 5.999
Se -6.347 3.027 5.394
Se -10.381 3.315 5.217
Se -8.248 2.671 1.837
Se -12.298 6.954 5.877
Sm -6.004 3.973 0.441
Sm -6.344 0.959 3.295
Sm -4.049 4.339 4.100
Sm -4.150 0.297 -0.182
Sm -2.194 0.663 3.477
Sm -1.854 3.677 0.623
Pr 0.000 0.000 0.000

(11)
9
Lattice="4.031 0.000 0.992 1.774 6.838 1.477 -0.153 0.664 9.311" Properties=species:S:1:pos:R:3 comment="PBE Pr2Sm3Se4, optimized geometry" final_energy_ev_per_cell=-52.0 sg="No. 12" pbc="T T T"
Se 2.293 6.646 8.058
Se 3.653 4.824 2.527
Se 3.359 0.856 3.722
Se 1.999 2.678 9.253
Pr 2.967 5.672 5.316
Pr 2.685 1.830 6.464
Sm 1.486 2.817 2.648
Sm 4.166 4.685 9.132
Sm 0.000 0.000 0.000

(12)
16
Lattice="7.342 0.000 4.205 2.466 6.915 4.205 0.023 0.016 8.471" Properties=species:S:1:pos:R:3 comment="PBE Pr5Sm3Se8, optimized geometry" final_energy_ev_per_cell=-95.2 sg="No. 166" pbc="T T T"
Sm 0.011 0.008 4.236
Sm 3.682 0.008 6.338
Sm 1.245 3.465 6.338
Pr 3.671 0.000 2.103
Pr 1.233 3.457 2.103
Pr 0.000 0.000 0.000
Pr 4.915 3.465 8.441
Pr 4.904 3.457 4.205
Se 2.469 1.741 8.406
Se 3.717 5.239 10.534
Se 6.183 1.741 10.534
Se 6.114 1.692 6.348
Se 2.430 1.713 4.269
Se 7.401 5.218 12.613
Se 7.362 5.190 8.475
Se 3.648 5.190 6.348

no.,V (Å³ per atom),DOS(E_F) (states/eV per cell),total magnetization (μB/f.u.)
1,31.8,9.47,0.000
2,29.6,4.33,0.000
3,27.7,1.91,0.000
4,29.4,0.00,0.000
5,26.6,1.35,0.000
6,32.9,7.80,0.000
7,26.0,5.04,0.000
8,28.1,6.82,0.000
9,26.3,2.67,0.000
10,27.2,6.43,0.000
11,28.3,6.22,0.000
12,26.8,10.96,0.000